#a
# PBE Dy4MgAg2, optimized geometry
# total magnetization: 0.000 μB/f.u.
data_Dy4MgAg2
_cell_length_a 5.1563
_cell_length_b 5.1563
_cell_length_c 24.4672
_cell_angle_alpha 90.00
_cell_angle_beta 90.00
_cell_angle_gamma 120.00
_symmetry_space_group_name_H-M 'R -3 m'
_symmetry_Int_Tables_number 166
_symmetry_space_group_name_Hall '-R 3 2"'
loop_
_atom_site_label
_atom_site_type_symbol
_atom_site_fract_x
_atom_site_fract_y
_atom_site_fract_z
_atom_site_occupancy
Dy1 Dy 0.0000 0.0000 0.1140 1
Dy2 Dy 0.0000 0.0000 0.3676 1
Mg1 Mg 0.0000 0.0000 0.5000 1
Ag1 Ag 0.0000 0.0000 0.2423 1

#b
# PBE Dy4MgAg2, optimized geometry
# total magnetization: 0.002 μB/f.u.
data_Dy4MgAg2
_cell_length_a 5.1250
_cell_length_b 5.1250
_cell_length_c 26.4525
_cell_angle_alpha 90.00
_cell_angle_beta 90.00
_cell_angle_gamma 120.00
_symmetry_space_group_name_H-M 'R -3 m'
_symmetry_Int_Tables_number 166
_symmetry_space_group_name_Hall '-R 3 2"'
loop_
_atom_site_label
_atom_site_type_symbol
_atom_site_fract_x
_atom_site_fract_y
_atom_site_fract_z
_atom_site_occupancy
Dy1 Dy 0.0000 0.0000 0.1215 1
Dy2 Dy 0.0000 0.0000 0.2894 1
Mg1 Mg 0.0000 0.0000 0.5000 1
Ag1 Ag 0.0000 0.0000 0.4009 1

Stability check: which of them is least stable? #b.

#a
# PBE Dy2MgAg3, optimized geometry
# total magnetization: 0.000 μB/f.u.
data_Dy2MgAg3
_cell_length_a 5.0290
_cell_length_b 5.0290
_cell_length_c 12.2433
_cell_angle_alpha 90.00
_cell_angle_beta 90.00
_cell_angle_gamma 120.00
_symmetry_space_group_name_H-M 'P -3 m 1'
_symmetry_Int_Tables_number 164
_symmetry_space_group_name_Hall '-P 3 2"'
loop_
_atom_site_label
_atom_site_type_symbol
_atom_site_fract_x
_atom_site_fract_y
_atom_site_fract_z
_atom_site_occupancy
Dy1 Dy 0.0000 0.0000 0.0000 1
Dy2 Dy 0.0000 0.0000 0.5000 1
Dy3 Dy 0.3333 0.6667 0.1772 1
Mg1 Mg 0.3333 0.6667 0.6650 1
Ag1 Ag 0.0000 0.0000 0.2537 1
Ag2 Ag 0.3333 0.6667 0.4232 1
Ag3 Ag 0.3333 0.6667 0.9163 1

#b
# PBE Dy2MgAg3, optimized geometry
# total magnetization: 0.000 μB/f.u.
data_Dy2MgAg3
_cell_length_a 3.543
_cell_length_b 3.543
_cell_length_c 10.680
_cell_angle_alpha 90.00
_cell_angle_beta 90.00
_cell_angle_gamma 90.00
_symmetry_space_group_name_H-M 'P 4/m m m'
_symmetry_Int_Tables_number 123
_symmetry_space_group_name_Hall '-P 4 2'
loop_
_atom_site_label
_atom_site_type_symbol
_atom_site_fract_x
_atom_site_fract_y
_atom_site_fract_z
_atom_site_occupancy
Dy1 Dy 0.000 0.000 0.175 1
Mg1 Mg 0.000 0.000 0.500 1
Ag1 Ag 0.500 0.500 0.000 1
Ag2 Ag 0.500 0.500 0.351 1

Stability check: which of them is least stable? #b.

#a
# PBE PmDyMgAg, optimized geometry
# total magnetization: 0.000 μB/f.u.
data_PmDyMgAg
_cell_length_a 3.770
_cell_length_b 3.770
_cell_length_c 7.388
_cell_angle_alpha 90.00
_cell_angle_beta 90.00
_cell_angle_gamma 90.00
_symmetry_space_group_name_H-M 'P 4 m m'
_symmetry_Int_Tables_number 99
loop_
_symmetry_equiv_pos_as_xyz
'x,y,z'
'-y,x,z'
'-x,-y,z'
'y,-x,z'
'-x,y,z'
'y,x,z'
'x,-y,z'
'-y,-x,z'
loop_
_atom_site_label
_atom_site_type_symbol
_atom_site_fract_x
_atom_site_fract_y
_atom_site_fract_z
_atom_site_occupancy
Pm1 Pm 0.000 0.000 0.000 1
Dy1 Dy 0.000 0.000 0.484 1
Mg1 Mg 0.500 0.500 0.735 1
Ag1 Ag 0.500 0.500 0.259 1

#b
# PBE PmDyMgAg, optimized geometry
# total magnetization: 0.000 μB/f.u.
data_PmDyMgAg
_cell_length_a 7.504
_cell_length_b 7.504
_cell_length_c 7.504
_cell_angle_alpha 90.00
_cell_angle_beta 90.00
_cell_angle_gamma 90.00
_symmetry_space_group_name_H-M 'F -4 3 m'
_symmetry_Int_Tables_number 216
_symmetry_space_group_name_Hall 'F -4 2 3'
loop_
_atom_site_label
_atom_site_type_symbol
_atom_site_fract_x
_atom_site_fract_y
_atom_site_fract_z
_atom_site_occupancy
Pm1 Pm 0.000 0.000 0.000 1
Dy1 Dy 0.000 0.000 0.500 1
Mg1 Mg 0.250 0.250 0.750 1
Ag1 Ag 0.250 0.250 0.250 1

Stability check: which of them is least stable? #b.

#a
# PBE SmDyMgAg, optimized geometry
# total magnetization: 0.000 μB/f.u.
data_SmDyMgAg
_cell_length_a 7.485
_cell_length_b 7.485
_cell_length_c 7.485
_cell_angle_alpha 90.00
_cell_angle_beta 90.00
_cell_angle_gamma 90.00
_symmetry_space_group_name_H-M 'F -4 3 m'
_symmetry_Int_Tables_number 216
_symmetry_space_group_name_Hall 'F -4 2 3'
loop_
_atom_site_label
_atom_site_type_symbol
_atom_site_fract_x
_atom_site_fract_y
_atom_site_fract_z
_atom_site_occupancy
Sm1 Sm 0.000 0.000 0.000 1
Dy1 Dy 0.000 0.000 0.500 1
Mg1 Mg 0.250 0.250 0.250 1
Ag1 Ag 0.250 0.250 0.750 1

#b
# PBE SmDyMgAg, optimized geometry
# total magnetization: 0.000 μB/f.u.
data_SmDyMgAg
_cell_length_a 3.762
_cell_length_b 3.762
_cell_length_c 7.366
_cell_angle_alpha 90.00
_cell_angle_beta 90.00
_cell_angle_gamma 90.00
_symmetry_space_group_name_H-M 'P 4 m m'
_symmetry_Int_Tables_number 99
loop_
_symmetry_equiv_pos_as_xyz
'x,y,z'
'-y,x,z'
'-x,-y,z'
'y,-x,z'
'-x,y,z'
'y,x,z'
'x,-y,z'
'-y,-x,z'
loop_
_atom_site_label
_atom_site_type_symbol
_atom_site_fract_x
_atom_site_fract_y
_atom_site_fract_z
_atom_site_occupancy
Sm1 Sm 0.000 0.000 0.000 1
Dy1 Dy 0.000 0.000 0.484 1
Mg1 Mg 0.500 0.500 0.736 1
Ag1 Ag 0.500 0.500 0.255 1

Stability check: which of them is least stable? #a.

#a
# PBE DyTmMgAg, optimized geometry
# total magnetization: 0.000 μB/f.u.
data_DyTmMgAg
_cell_length_a 7.370
_cell_length_b 7.370
_cell_length_c 7.370
_cell_angle_alpha 90.00
_cell_angle_beta 90.00
_cell_angle_gamma 90.00
_symmetry_space_group_name_H-M 'F -4 3 m'
_symmetry_Int_Tables_number 216
_symmetry_space_group_name_Hall 'F -4 2 3'
loop_
_atom_site_label
_atom_site_type_symbol
_atom_site_fract_x
_atom_site_fract_y
_atom_site_fract_z
_atom_site_occupancy
Dy1 Dy 0.000 0.000 0.000 1
Tm1 Tm 0.000 0.000 0.500 1
Mg1 Mg 0.250 0.250 0.250 1
Ag1 Ag 0.250 0.250 0.750 1

#b
# PBE DyTmMgAg, optimized geometry
# total magnetization: 0.000 μB/f.u.
data_DyTmMgAg
_cell_length_a 3.703
_cell_length_b 3.703
_cell_length_c 7.278
_cell_angle_alpha 90.00
_cell_angle_beta 90.00
_cell_angle_gamma 90.00
_symmetry_space_group_name_H-M 'P 4 m m'
_symmetry_Int_Tables_number 99
loop_
_symmetry_equiv_pos_as_xyz
'x,y,z'
'-y,x,z'
'-x,-y,z'
'y,-x,z'
'-x,y,z'
'y,x,z'
'x,-y,z'
'-y,-x,z'
loop_
_atom_site_label
_atom_site_type_symbol
_atom_site_fract_x
_atom_site_fract_y
_atom_site_fract_z
_atom_site_occupancy
Dy1 Dy 0.000 0.000 0.000 1
Tm1 Tm 0.000 0.000 0.480 1
Mg1 Mg 0.500 0.500 0.736 1
Ag1 Ag 0.500 0.500 0.247 1

Stability check: which of them is least stable? #a.

#a
# PBE NaDyAg2, optimized geometry
# total magnetization: 0.000 μB/f.u.
data_NaDyAg2
_cell_length_a 7.154
_cell_length_b 7.154
_cell_length_c 7.154
_cell_angle_alpha 90.00
_cell_angle_beta 90.00
_cell_angle_gamma 90.00
_symmetry_space_group_name_H-M 'F m -3 m'
_symmetry_Int_Tables_number 225
_symmetry_space_group_name_Hall '-F 4 2 3'
loop_
_atom_site_label
_atom_site_type_symbol
_atom_site_fract_x
_atom_site_fract_y
_atom_site_fract_z
_atom_site_occupancy
Na1 Na 0.000 0.000 0.000 1
Dy1 Dy 0.000 0.000 0.500 1
Ag1 Ag 0.250 0.250 0.250 1

#b
# PBE NaDyAg2, optimized geometry
# total magnetization: 0.000 μB/f.u.
data_NaDyAg2
_cell_length_a 3.6806
_cell_length_b 3.6806
_cell_length_c 26.6657
_cell_angle_alpha 90.00
_cell_angle_beta 90.00
_cell_angle_gamma 120.00
_symmetry_space_group_name_H-M 'R -3 m'
_symmetry_Int_Tables_number 166
_symmetry_space_group_name_Hall '-R 3 2"'
loop_
_atom_site_label
_atom_site_type_symbol
_atom_site_fract_x
_atom_site_fract_y
_atom_site_fract_z
_atom_site_occupancy
Na1 Na 0.0000 0.0000 0.0000 1
Dy1 Dy 0.0000 0.0000 0.5000 1
Ag1 Ag 0.0000 0.0000 0.2469 1

#c
# PBE NaDyAg2, optimized geometry
# total magnetization: 0.000 μB/f.u.
data_NaDyAg2
_cell_length_a 3.616
_cell_length_b 3.616
_cell_length_c 7.461
_cell_angle_alpha 90.00
_cell_angle_beta 90.00
_cell_angle_gamma 90.00
_symmetry_space_group_name_H-M 'P 4/m m m'
_symmetry_Int_Tables_number 123
_symmetry_space_group_name_Hall '-P 4 2'
loop_
_atom_site_label
_atom_site_type_symbol
_atom_site_fract_x
_atom_site_fract_y
_atom_site_fract_z
_atom_site_occupancy
Na1 Na 0.000 0.000 0.000 1
Dy1 Dy 0.000 0.000 0.500 1
Ag1 Ag 0.500 0.500 0.273 1

Stability check: which of them is least stable? #b.

#a
# PBE Nd2DyAg, optimized geometry
# total magnetization: 0.000 μB/f.u.
data_Nd2DyAg
_cell_length_a 3.692
_cell_length_b 3.692
_cell_length_c 8.866
_cell_angle_alpha 90.00
_cell_angle_beta 90.00
_cell_angle_gamma 90.00
_symmetry_space_group_name_H-M 'P 4/m m m'
_symmetry_Int_Tables_number 123
_symmetry_space_group_name_Hall '-P 4 2'
loop_
_atom_site_label
_atom_site_type_symbol
_atom_site_fract_x
_atom_site_fract_y
_atom_site_fract_z
_atom_site_occupancy
Nd1 Nd 0.000 0.000 0.219 1
Dy1 Dy 0.500 0.500 0.500 1
Ag1 Ag 0.500 0.500 0.000 1

#b
# PBE Nd2DyAg, optimized geometry
# total magnetization: 0.000 μB/f.u.
data_Nd2DyAg
_cell_length_a 5.220
_cell_length_b 5.220
_cell_length_c 17.521
_cell_angle_alpha 90.00
_cell_angle_beta 90.00
_cell_angle_gamma 90.00
_symmetry_space_group_name_H-M 'I 4/m m m'
_symmetry_Int_Tables_number 139
_symmetry_space_group_name_Hall '-I 4 2'
loop_
_atom_site_label
_atom_site_type_symbol
_atom_site_fract_x
_atom_site_fract_y
_atom_site_fract_z
_atom_site_occupancy
Nd1 Nd 0.000 0.000 0.140 1
Nd2 Nd 0.000 0.500 0.000 1
Dy1 Dy 0.000 0.000 0.351 1
Ag1 Ag 0.000 0.500 0.250 1

#c
# PBE Nd2DyAg, optimized geometry
# total magnetization: 0.000 μB/f.u.
data_Nd2DyAg
_cell_length_a 3.760
_cell_length_b 12.478
_cell_length_c 10.214
_cell_angle_alpha 90.00
_cell_angle_beta 90.00
_cell_angle_gamma 90.00
_symmetry_space_group_name_H-M 'C m c m'
_symmetry_Int_Tables_number 63
_symmetry_space_group_name_Hall '-C 2c 2'
loop_
_atom_site_label
_atom_site_type_symbol
_atom_site_fract_x
_atom_site_fract_y
_atom_site_fract_z
_atom_site_occupancy
Nd1 Nd 0.000 0.132 0.047 1
Dy1 Dy 0.000 0.442 0.250 1
Ag1 Ag 0.000 0.255 0.750 1

#d
# PBE Nd2DyAg, optimized geometry
# total magnetization: 0.000 μB/f.u.
data_Nd2DyAg
_cell_length_a 7.770
_cell_length_b 7.770
_cell_length_c 7.770
_cell_angle_alpha 90.00
_cell_angle_beta 90.00
_cell_angle_gamma 90.00
_symmetry_space_group_name_H-M 'F m -3 m'
_symmetry_Int_Tables_number 225
_symmetry_space_group_name_Hall '-F 4 2 3'
loop_
_atom_site_label
_atom_site_type_symbol
_atom_site_fract_x
_atom_site_fract_y
_atom_site_fract_z
_atom_site_occupancy
Nd1 Nd 0.250 0.250 0.250 1
Dy1 Dy 0.000 0.000 0.000 1
Ag1 Ag 0.000 0.000 0.500 1

Stability check: which of them is least stable? #d.

#a
# PBE Nd2DyAg, optimized geometry
# total magnetization: 0.000 μB/f.u.
data_Nd2DyAg
_cell_length_a 6.333
_cell_length_b 3.662
_cell_length_c 10.837
_cell_angle_alpha 90.00
_cell_angle_beta 101.17
_cell_angle_gamma 90.00
_symmetry_space_group_name_H-M 'C 1 m 1'
_symmetry_Int_Tables_number 8
loop_
_symmetry_equiv_pos_as_xyz
'x,y,z'
'x,-y,z'
'x+1/2,y+1/2,z'
'x+1/2,-y+1/2,z'
loop_
_atom_site_label
_atom_site_type_symbol
_atom_site_fract_x
_atom_site_fract_y
_atom_site_fract_z
_atom_site_occupancy
Nd1 Nd 0.000 0.000 0.000 1
Nd2 Nd 0.182 0.000 0.545 1
Dy1 Dy 0.424 0.000 0.272 1
Ag1 Ag 0.092 0.500 0.775 1

#b
# PBE Nd2DyAg, optimized geometry
# total magnetization: 0.000 μB/f.u.
data_Nd2DyAg
_cell_length_a 3.6368
_cell_length_b 3.6368
_cell_length_c 32.1174
_cell_angle_alpha 90.00
_cell_angle_beta 90.00
_cell_angle_gamma 120.00
_symmetry_space_group_name_H-M 'R -3 m'
_symmetry_Int_Tables_number 166
_symmetry_space_group_name_Hall '-R 3 2"'
loop_
_atom_site_label
_atom_site_type_symbol
_atom_site_fract_x
_atom_site_fract_y
_atom_site_fract_z
_atom_site_occupancy
Nd1 Nd 0.0000 0.0000 0.2423 1
Dy1 Dy 0.0000 0.0000 0.0000 1
Ag1 Ag 0.0000 0.0000 0.5000 1

Stability check: which of them is least stable? #a.